Entry 1:
# LiHfAlFe PBE-GGA optimized geometry
# Formation energy from the elements   -71 kJ/mol of formula units
# Crystal system   cubic
data_LiHfAlFe
_symmetry_space_group_name_H-M 'P 1'
_symmetry_Int_Tables_number 1
_cell_length_a 4.3307
_cell_length_b 4.3307
_cell_length_c 4.3307
_cell_angle_alpha 60.00
_cell_angle_beta 60.00
_cell_angle_gamma 60.00
loop_
_symmetry_equiv_pos_as_xyz
'x,y,z'
loop_
_atom_site_label
_atom_site_type_symbol
_atom_site_fract_x
_atom_site_fract_y
_atom_site_fract_z
Li1 Li 0.0000 0.0000 0.0000
Hf1 Hf 0.2500 0.2500 0.2500
Al1 Al 0.7500 0.7500 0.7500
Fe1 Fe 0.5000 0.5000 0.5000



Entry 2:
# TbNdMnTl PBE-GGA optimized geometry
# Formation energy from the elements   -1 kJ/mol of formula units
# Crystal system   cubic
data_TbNdMnTl
_symmetry_space_group_name_H-M 'P 1'
_symmetry_Int_Tables_number 1
_cell_length_a 5.3162
_cell_length_b 5.3162
_cell_length_c 5.3162
_cell_angle_alpha 60.00
_cell_angle_beta 60.00
_cell_angle_gamma 60.00
loop_
_symmetry_equiv_pos_as_xyz
'x,y,z'
loop_
_atom_site_label
_atom_site_type_symbol
_atom_site_fract_x
_atom_site_fract_y
_atom_site_fract_z
Tb1 Tb 0.0000 0.0000 0.0000
Nd1 Nd 0.5000 0.5000 0.5000
Mn1 Mn 0.7500 0.7500 0.7500
Tl1 Tl 0.2500 0.2500 0.2500



Entry 3:
# MnPd4Au3 PBE-GGA optimized geometry
# Formation energy from the elements   -127 kJ/mol of formula units
# Relative energy among the computed polymorphs   0.000 eV per atom
# Crystal system   tetragonal
data_MnPd4Au3
_symmetry_space_group_name_H-M 'P 1'
_symmetry_Int_Tables_number 1
_cell_length_a 8.3452
_cell_length_b 8.3452
_cell_length_c 8.3452
_cell_angle_alpha 151.76
_cell_angle_beta 151.76
_cell_angle_gamma 40.37
loop_
_symmetry_equiv_pos_as_xyz
'x,y,z'
loop_
_atom_site_label
_atom_site_type_symbol
_atom_site_fract_x
_atom_site_fract_y
_atom_site_fract_z
Mn1 Mn 0.0000 0.0000 0.0000
Pd1 Pd 0.1208 0.6208 0.5000
Pd2 Pd 0.3792 0.8792 0.5000
Pd3 Pd 0.6208 0.1208 0.5000
Pd4 Pd 0.8792 0.3792 0.5000
Au1 Au 0.2508 0.2508 0.0000
Au2 Au 0.5000 0.5000 0.0000
Au3 Au 0.7492 0.7492 0.0000



Entry 4:
# CrOs3 PBE-GGA optimized geometry
# Formation energy from the elements   44 kJ/mol of formula units
# Crystal system   monoclinic
data_CrOs3
_symmetry_space_group_name_H-M 'P 1'
_symmetry_Int_Tables_number 1
_cell_length_a 4.6641
_cell_length_b 4.6641
_cell_length_c 4.6568
_cell_angle_alpha 99.74
_cell_angle_beta 99.74
_cell_angle_gamma 33.76
loop_
_symmetry_equiv_pos_as_xyz
'x,y,z'
loop_
_atom_site_label
_atom_site_type_symbol
_atom_site_fract_x
_atom_site_fract_y
_atom_site_fract_z
Cr1 Cr 0.0000 0.0000 0.0000
Os1 Os 0.2511 0.2511 0.7540
Os2 Os 0.5000 0.5000 0.5000
Os3 Os 0.7489 0.7489 0.2460



Entry 5:
# Ca2CuP3Pt12 PBE-GGA optimized geometry
# Formation energy from the elements   -582 kJ/mol of formula units
# Crystal system   trigonal
data_Ca2CuP3Pt12
_symmetry_space_group_name_H-M 'P 1'
_symmetry_Int_Tables_number 1
_cell_length_a 7.5974
_cell_length_b 7.5974
_cell_length_c 7.5974
_cell_angle_alpha 65.66
_cell_angle_beta 65.66
_cell_angle_gamma 65.66
loop_
_symmetry_equiv_pos_as_xyz
'x,y,z'
loop_
_atom_site_label
_atom_site_type_symbol
_atom_site_fract_x
_atom_site_fract_y
_atom_site_fract_z
Ca1 Ca 0.1110 0.1110 0.1110
Ca2 Ca 0.8890 0.8890 0.8890
Cu1 Cu 0.5000 0.5000 0.5000
P1 P 0.0000 0.5000 0.5000
P2 P 0.5000 0.0000 0.5000
P3 P 0.5000 0.5000 0.0000
Pt1 Pt 0.1310 0.6239 0.6239
Pt2 Pt 0.1553 0.1553 0.6006
Pt3 Pt 0.1553 0.6006 0.1553
Pt4 Pt 0.3761 0.3761 0.8690
Pt5 Pt 0.3761 0.8690 0.3761
Pt6 Pt 0.3994 0.8447 0.8447
Pt7 Pt 0.6006 0.1553 0.1553
Pt8 Pt 0.6239 0.1310 0.6239
Pt9 Pt 0.6239 0.6239 0.1310
Pt10 Pt 0.8447 0.3994 0.8447
Pt11 Pt 0.8447 0.8447 0.3994
Pt12 Pt 0.8690 0.3761 0.3761



Entry 6:
# TaTl3Ni2S6 PBE-GGA optimized geometry
# E_form (uncorrected)   -0.3976 eV per atom
# Crystal system   monoclinic
data_TaTl3Ni2S6
_symmetry_space_group_name_H-M 'P 1'
_symmetry_Int_Tables_number 1
_cell_length_a 6.0665
_cell_length_b 6.0665
_cell_length_c 8.0884
_cell_angle_alpha 97.16
_cell_angle_beta 97.16
_cell_angle_gamma 120.00
loop_
_symmetry_equiv_pos_as_xyz
'x,y,z'
loop_
_atom_site_label
_atom_site_type_symbol
_atom_site_fract_x
_atom_site_fract_y
_atom_site_fract_z
Ta1 Ta 0.0000 0.0000 0.0000
Tl1 Tl 0.1666 0.8334 0.5000
Tl2 Tl 0.5000 0.5000 0.5000
Tl3 Tl 0.8334 0.1666 0.5000
Ni1 Ni 0.3333 0.6667 0.0000
Ni2 Ni 0.6667 0.3333 0.0000
S1 S 0.0552 0.4008 0.1669
S2 S 0.2900 0.2900 0.8333
S3 S 0.4008 0.0552 0.1669
S4 S 0.5992 0.9448 0.8331
S5 S 0.7100 0.7100 0.1667
S6 S 0.9448 0.5992 0.8331



Entry 7:
# Mg2TcAg PBE-GGA optimized geometry
# Formation energy from the elements   106 kJ/mol of formula units
# Relative energy among the computed polymorphs   0.187 eV per atom
# Crystal system   orthorhombic
data_Mg2TcAg
_symmetry_space_group_name_H-M 'P 1'
_symmetry_Int_Tables_number 1
_cell_length_a 5.4826
_cell_length_b 5.4826
_cell_length_c 5.4826
_cell_angle_alpha 148.48
_cell_angle_beta 125.94
_cell_angle_gamma 63.93
loop_
_symmetry_equiv_pos_as_xyz
'x,y,z'
loop_
_atom_site_label
_atom_site_type_symbol
_atom_site_fract_x
_atom_site_fract_y
_atom_site_fract_z
Mg1 Mg 0.2461 0.2461 0.0000
Mg2 Mg 0.7539 0.7539 0.0000
Tc1 Tc 0.5000 0.0000 0.5000
Ag1 Ag 0.0000 0.5000 0.5000



Entry 8:
# La2BeFe PBE-GGA optimized geometry
# Formation energy from the elements   111 kJ/mol of formula units
# Crystal system   tetragonal
data_La2BeFe
_symmetry_space_group_name_H-M 'P 1'
_symmetry_Int_Tables_number 1
_cell_length_a 5.0250
_cell_length_b 5.0250
_cell_length_c 3.6166
_cell_angle_alpha 90.00
_cell_angle_beta 90.00
_cell_angle_gamma 90.00
loop_
_symmetry_equiv_pos_as_xyz
'x,y,z'
loop_
_atom_site_label
_atom_site_type_symbol
_atom_site_fract_x
_atom_site_fract_y
_atom_site_fract_z
La1 La 0.0000 0.5000 0.0000
La2 La 0.5000 0.0000 0.0000
Be1 Be 0.0000 0.0000 0.5000
Fe1 Fe 0.5000 0.5000 0.5000



Entry 9:
# HfTcBRh2 PBE-GGA optimized geometry
# Formation energy from the elements   -285 kJ/mol of formula units
# Relative energy among the computed polymorphs   0.000 eV per atom
# Crystal system   tetragonal
data_HfTcBRh2
_symmetry_space_group_name_H-M 'P 1'
_symmetry_Int_Tables_number 1
_cell_length_a 4.0922
_cell_length_b 4.0922
_cell_length_c 4.2305
_cell_angle_alpha 90.00
_cell_angle_beta 90.00
_cell_angle_gamma 90.00
loop_
_symmetry_equiv_pos_as_xyz
'x,y,z'
loop_
_atom_site_label
_atom_site_type_symbol
_atom_site_fract_x
_atom_site_fract_y
_atom_site_fract_z
Hf1 Hf 0.0000 0.0000 0.0000
Tc1 Tc 0.5000 0.5000 0.0000
B1 B 0.5000 0.5000 0.5000
Rh1 Rh 0.0000 0.5000 0.5000
Rh2 Rh 0.5000 0.0000 0.5000



Entry 10:
# Rb2SrNbS PBE-GGA optimized geometry
# E_form (uncorrected)   0.3209 eV per atom
# Crystal system   tetragonal
data_Rb2SrNbS
_symmetry_space_group_name_H-M 'P 1'
_symmetry_Int_Tables_number 1
_cell_length_a 6.3398
_cell_length_b 6.3398
_cell_length_c 5.7284
_cell_angle_alpha 90.00
_cell_angle_beta 90.00
_cell_angle_gamma 90.00
loop_
_symmetry_equiv_pos_as_xyz
'x,y,z'
loop_
_atom_site_label
_atom_site_type_symbol
_atom_site_fract_x
_atom_site_fract_y
_atom_site_fract_z
Rb1 Rb 0.0000 0.5000 0.0000
Rb2 Rb 0.5000 0.0000 0.0000
Sr1 Sr 0.0000 0.0000 0.5000
Nb1 Nb 0.5000 0.5000 0.5000
S1 S 0.0000 0.0000 0.0000



Entry 11:
# BaErTeO6 PBE-GGA optimized geometry
# E_form (uncorrected)   -2.0862 eV per atom
# Crystal system   trigonal
data_BaErTeO6
_symmetry_space_group_name_H-M 'P 1'
_symmetry_Int_Tables_number 1
_cell_length_a 5.6903
_cell_length_b 5.6903
_cell_length_c 5.6176
_cell_angle_alpha 90.00
_cell_angle_beta 90.00
_cell_angle_gamma 120.00
loop_
_symmetry_equiv_pos_as_xyz
'x,y,z'
loop_
_atom_site_label
_atom_site_type_symbol
_atom_site_fract_x
_atom_site_fract_y
_atom_site_fract_z
Ba1 Ba 0.0000 0.0000 0.0000
Er1 Er 0.3333 0.6667 0.5000
Te1 Te 0.6667 0.3333 0.5000
O1 O 0.3985 0.0385 0.6974
O2 O 0.3985 0.3600 0.3026
O3 O 0.6400 0.0385 0.3026
O4 O 0.6400 0.6015 0.6974
O5 O 0.9615 0.3600 0.6974
O6 O 0.9615 0.6015 0.3026



Entry 12:
# PrNdTm2Hg4 PBE-GGA optimized geometry
# Formation energy from the elements   -353 kJ/mol of formula units
# Crystal system   trigonal
data_PrNdTm2Hg4
_symmetry_space_group_name_H-M 'P 1'
_symmetry_Int_Tables_number 1
_cell_length_a 9.2367
_cell_length_b 9.2367
_cell_length_c 9.2367
_cell_angle_alpha 33.56
_cell_angle_beta 33.56
_cell_angle_gamma 33.56
loop_
_symmetry_equiv_pos_as_xyz
'x,y,z'
loop_
_atom_site_label
_atom_site_type_symbol
_atom_site_fract_x
_atom_site_fract_y
_atom_site_fract_z
Pr1 Pr 0.0000 0.0000 0.0000
Nd1 Nd 0.5000 0.5000 0.5000
Tm1 Tm 0.2498 0.2498 0.2498
Tm2 Tm 0.7502 0.7502 0.7502
Hg1 Hg 0.1257 0.1257 0.1257
Hg2 Hg 0.3754 0.3754 0.3754
Hg3 Hg 0.6246 0.6246 0.6246
Hg4 Hg 0.8743 0.8743 0.8743



Entry 13:
# RbCe2F11 PBE-GGA optimized geometry
# E_form (uncorrected)   -2.9764 eV per atom
# Crystal system   orthorhombic
data_RbCe2F11
_symmetry_space_group_name_H-M 'P 1'
_symmetry_Int_Tables_number 1
_cell_length_a 9.6576
_cell_length_b 9.6576
_cell_length_c 9.6576
_cell_angle_alpha 124.92
_cell_angle_beta 115.39
_cell_angle_gamma 89.93
loop_
_symmetry_equiv_pos_as_xyz
'x,y,z'
loop_
_atom_site_label
_atom_site_type_symbol
_atom_site_fract_x
_atom_site_fract_y
_atom_site_fract_z
Rb1 Rb 0.2500 0.2500 0.0000
Rb2 Rb 0.7500 0.7500 0.0000
Ce1 Ce 0.1934 0.6770 0.8705
Ce2 Ce 0.3066 0.1770 0.4836
Ce3 Ce 0.6934 0.8230 0.5164
Ce4 Ce 0.8066 0.3230 0.1295
F1 F 0.0000 0.5000 0.5000
F2 F 0.0362 0.3422 0.1564
F3 F 0.0612 0.0150 0.3080
F4 F 0.1858 0.8798 0.8436
F5 F 0.1990 0.4105 0.6095
F6 F 0.2070 0.5150 0.9537
F7 F 0.2930 0.2468 0.3080
F8 F 0.3010 0.9105 0.2114
F9 F 0.3142 0.1578 0.6939
F10 F 0.4388 0.7468 0.9537
F11 F 0.4638 0.6202 0.3061
F12 F 0.5000 0.0000 0.5000
F13 F 0.5362 0.3798 0.6939
F14 F 0.5612 0.2532 0.0463
F15 F 0.6858 0.8422 0.3061
F16 F 0.6990 0.0895 0.7886
F17 F 0.7070 0.7532 0.6920
F18 F 0.7930 0.4850 0.0463
F19 F 0.8010 0.5895 0.3905
F20 F 0.8142 0.1202 0.1564
F21 F 0.9388 0.9850 0.6920
F22 F 0.9638 0.6578 0.8436



Entry 14:
# BeP2Pb PBE-GGA optimized geometry
# Formation energy from the elements   84 kJ/mol of formula units
# Crystal system   trigonal
data_BeP2Pb
_symmetry_space_group_name_H-M 'P 1'
_symmetry_Int_Tables_number 1
_cell_length_a 7.0513
_cell_length_b 7.0513
_cell_length_c 7.0513
_cell_angle_alpha 29.02
_cell_angle_beta 29.02
_cell_angle_gamma 29.02
loop_
_symmetry_equiv_pos_as_xyz
'x,y,z'
loop_
_atom_site_label
_atom_site_type_symbol
_atom_site_fract_x
_atom_site_fract_y
_atom_site_fract_z
Be1 Be 0.0000 0.0000 0.0000
P1 P 0.2829 0.2829 0.2829
P2 P 0.7171 0.7171 0.7171
Pb1 Pb 0.5000 0.5000 0.5000



Entry 15:
# Ac2SbIr2 PBE-GGA optimized geometry
# E_form (uncorrected)   -0.7125 eV per atom
# Crystal system   orthorhombic
data_Ac2SbIr2
_symmetry_space_group_name_H-M 'P 1'
_symmetry_Int_Tables_number 1
_cell_length_a 5.9562
_cell_length_b 5.9562
_cell_length_c 5.9562
_cell_angle_alpha 134.45
_cell_angle_beta 118.81
_cell_angle_gamma 79.50
loop_
_symmetry_equiv_pos_as_xyz
'x,y,z'
loop_
_atom_site_label
_atom_site_type_symbol
_atom_site_fract_x
_atom_site_fract_y
_atom_site_fract_z
Ac1 Ac 0.2048 0.2048 0.0000
Ac2 Ac 0.7952 0.7952 0.0000
Sb1 Sb 0.5000 0.0000 0.5000
Ir1 Ir 0.2209 0.5000 0.7209
Ir2 Ir 0.7791 0.5000 0.2791



Entry 16:
# La3Ga5Au6 PBE-GGA optimized geometry
# Formation energy from the elements   -897 kJ/mol of formula units
# Crystal system   orthorhombic
data_La3Ga5Au6
_symmetry_space_group_name_H-M 'P 1'
_symmetry_Int_Tables_number 1
_cell_length_a 4.4803
_cell_length_b 13.6621
_cell_length_c 9.7765
_cell_angle_alpha 90.00
_cell_angle_beta 90.00
_cell_angle_gamma 90.00
loop_
_symmetry_equiv_pos_as_xyz
'x,y,z'
loop_
_atom_site_label
_atom_site_type_symbol
_atom_site_fract_x
_atom_site_fract_y
_atom_site_fract_z
La1 La 0.2500 0.0698 0.2437
La2 La 0.2500 0.4302 0.2437
La3 La 0.2500 0.7500 0.2501
La4 La 0.7500 0.2500 0.7499
La5 La 0.7500 0.5698 0.7563
La6 La 0.7500 0.9302 0.7563
Ga1 Ga 0.2500 0.0818 0.8698
Ga2 Ga 0.2500 0.4182 0.8698
Ga3 Ga 0.2500 0.6361 0.5462
Ga4 Ga 0.2500 0.7500 0.7932
Ga5 Ga 0.2500 0.8639 0.5462
Ga6 Ga 0.7500 0.1361 0.4538
Ga7 Ga 0.7500 0.2500 0.2068
Ga8 Ga 0.7500 0.3639 0.4538
Ga9 Ga 0.7500 0.5818 0.1302
Ga10 Ga 0.7500 0.9182 0.1302
Au1 Au 0.2500 0.0617 0.6018
Au2 Au 0.2500 0.2500 0.0206
Au3 Au 0.2500 0.2500 0.4826
Au4 Au 0.2500 0.4383 0.6018
Au5 Au 0.2500 0.6012 0.9952
Au6 Au 0.2500 0.8988 0.9952
Au7 Au 0.7500 0.1012 0.0048
Au8 Au 0.7500 0.3988 0.0048
Au9 Au 0.7500 0.5617 0.3982
Au10 Au 0.7500 0.7500 0.5174
Au11 Au 0.7500 0.7500 0.9794
Au12 Au 0.7500 0.9383 0.3982



Entry 17:
# LaMnN3 PBE-GGA optimized geometry
# E_form (uncorrected)   -0.6828 eV per atom
# Crystal system   orthorhombic
data_LaMnN3
_symmetry_space_group_name_H-M 'P 1'
_symmetry_Int_Tables_number 1
_cell_length_a 6.4372
_cell_length_b 6.4372
_cell_length_c 5.3258
_cell_angle_alpha 90.00
_cell_angle_beta 90.00
_cell_angle_gamma 143.46
loop_
_symmetry_equiv_pos_as_xyz
'x,y,z'
loop_
_atom_site_label
_atom_site_type_symbol
_atom_site_fract_x
_atom_site_fract_y
_atom_site_fract_z
La1 La 0.1305 0.8695 0.7500
La2 La 0.8695 0.1305 0.2500
Mn1 Mn 0.4069 0.5931 0.7500
Mn2 Mn 0.5931 0.4069 0.2500
N1 N 0.0339 0.6480 0.2500
N2 N 0.3520 0.9661 0.2500
N3 N 0.5000 0.5000 0.0000
N4 N 0.5000 0.5000 0.5000
N5 N 0.6480 0.0339 0.7500
N6 N 0.9661 0.3520 0.7500



Entry 18:
# NaAsPdSe2 PBE-GGA optimized geometry
# E_form (uncorrected)   -0.0067 eV per atom
# Relative energy among the computed polymorphs   0.000 eV per atom
# Crystal system   tetragonal
data_NaAsPdSe2
_symmetry_space_group_name_H-M 'P 1'
_symmetry_Int_Tables_number 1
_cell_length_a 5.2336
_cell_length_b 5.2336
_cell_length_c 4.6719
_cell_angle_alpha 90.00
_cell_angle_beta 90.00
_cell_angle_gamma 90.00
loop_
_symmetry_equiv_pos_as_xyz
'x,y,z'
loop_
_atom_site_label
_atom_site_type_symbol
_atom_site_fract_x
_atom_site_fract_y
_atom_site_fract_z
Na1 Na 0.0000 0.0000 0.0000
As1 As 0.5000 0.5000 0.0000
Pd1 Pd 0.5000 0.5000 0.5000
Se1 Se 0.0000 0.5000 0.5000
Se2 Se 0.5000 0.0000 0.5000



Entry 19:
# AcPm4Al PBE-GGA optimized geometry
# Formation energy from the elements   -49 kJ/mol of formula units
# Crystal system   tetragonal
data_AcPm4Al
_symmetry_space_group_name_H-M 'P 1'
_symmetry_Int_Tables_number 1
_cell_length_a 3.7509
_cell_length_b 3.7509
_cell_length_c 14.1458
_cell_angle_alpha 90.00
_cell_angle_beta 90.00
_cell_angle_gamma 90.00
loop_
_symmetry_equiv_pos_as_xyz
'x,y,z'
loop_
_atom_site_label
_atom_site_type_symbol
_atom_site_fract_x
_atom_site_fract_y
_atom_site_fract_z
Ac1 Ac 0.0000 0.0000 0.0000
Pm1 Pm 0.0000 0.0000 0.3716
Pm2 Pm 0.0000 0.0000 0.6284
Pm3 Pm 0.5000 0.5000 0.1917
Pm4 Pm 0.5000 0.5000 0.8083
Al1 Al 0.5000 0.5000 0.5000



Entry 20:
# LaSc5Zn6 PBE-GGA optimized geometry
# Formation energy from the elements   -368 kJ/mol of formula units
# Crystal system   orthorhombic
data_LaSc5Zn6
_symmetry_space_group_name_H-M 'P 1'
_symmetry_Int_Tables_number 1
_cell_length_a 8.3712
_cell_length_b 8.3712
_cell_length_c 8.3712
_cell_angle_alpha 146.52
_cell_angle_beta 131.23
_cell_angle_gamma 60.45
loop_
_symmetry_equiv_pos_as_xyz
'x,y,z'
loop_
_atom_site_label
_atom_site_type_symbol
_atom_site_fract_x
_atom_site_fract_y
_atom_site_fract_z
La1 La 0.0000 0.0000 0.0000
Sc1 Sc 0.1622 0.6622 0.5000
Sc2 Sc 0.3304 0.3304 0.0000
Sc3 Sc 0.5000 0.0000 0.5000
Sc4 Sc 0.6696 0.6696 0.0000
Sc5 Sc 0.8378 0.3378 0.5000
Zn1 Zn 0.0938 0.8255 0.2683
Zn2 Zn 0.2822 0.5000 0.7822
Zn3 Zn 0.4427 0.1745 0.2683
Zn4 Zn 0.5573 0.8255 0.7317
Zn5 Zn 0.7178 0.5000 0.2178
Zn6 Zn 0.9062 0.1745 0.7317